PBE PaSiOs, optimized geometry; total energy = -8.9358 eV per atom; symmetry = F-43m
1.0
0.000 3.171 3.171
3.171 0.000 3.171
3.171 3.171 0.000
Pa Si Os
1 1 1
direct
0.000 0.000 0.000
0.500 0.500 0.500
0.250 0.250 0.250